A geometry-optimized Pm3Tl4InTe8 structure, computed with PBE.

Lattice parameters (Å, degrees): 9.064 9.064 9.690 117.90 117.90 59.99
Sites, in units of the cell vectors:
1 Pm 0.000 0.000 0.000
2 Pm 0.000 0.500 0.000
3 Pm 0.500 0.000 0.000
4 Tl 0.000 0.000 0.500
5 Tl 0.000 0.500 0.500
6 Tl 0.500 0.000 0.500
7 Tl 0.500 0.500 0.500
8 In 0.500 0.500 0.000
9 Te 0.240 0.240 0.220
10 Te 0.248 0.733 0.214
11 Te 0.264 0.264 0.784
12 Te 0.267 0.752 0.786
13 Te 0.733 0.248 0.214
14 Te 0.736 0.736 0.216
15 Te 0.752 0.267 0.786
16 Te 0.760 0.760 0.780

A geometry-optimized KS6N2 structure, computed with PBE.

Lattice parameters (Å, degrees): 7.027 7.027 6.323 109.67 109.67 54.27
Sites, in units of the cell vectors:
1 K 0.000 0.000 0.000
2 S 0.000 0.449 0.810
3 S 0.000 0.551 0.190
4 S 0.157 0.843 0.500
5 S 0.449 0.000 0.810
6 S 0.551 0.000 0.190
7 S 0.843 0.157 0.500
8 N 0.277 0.277 0.772
9 N 0.723 0.723 0.228

A geometry-optimized CdP2O2 structure, computed with PBE.

Lattice parameters (Å, degrees): 4.969 4.969 3.978 90.00 90.00 90.00
Sites, in units of the cell vectors:
1 Cd 0.000 0.000 0.000
2 P 0.000 0.500 0.000
3 P 0.500 0.000 0.000
4 O 0.000 0.000 0.500
5 O 0.500 0.500 0.500

no.,E_tot (eV per atom)
1,-4.097
2,-4.465
3,-2.870